Ge2RhWO: relaxed, PBE with a Hubbard U.

As for the total energy: -21.32 eV per cell. As for the space group: P4/mmm (123).

Unit cell a=4.9227 b=4.9227 c=4.7415 alpha=90.00 beta=90.00 gamma=90.00
Closest atoms and distances in Å follow each position.
Atoms (fractional coordinates):
Ge 0.0000 0.5000 0.0000  2 W 2.46
Ge 0.5000 0.0000 0.0000  2 W 2.46
Rh 0.0000 0.0000 0.5000  2 W 2.37
W 0.0000 0.0000 0.0000  2 Rh 2.37, 4 Ge 2.46
O 0.5000 0.5000 0.5000  8 Ge 3.42, 4 Rh 3.48